This record from the Alexandria database describes a relaxed structure of P2RuSeN. The functional is PBE.

Summary:
The total energy is -6.376 eV per atom. The value obtained for the density of states at the Fermi level is 0.340 states/eV per atom. For the magnetization, the calculation gives 0.0 μB/f.u.

a b c (Å): 5.8819 5.8819 6.4157
angles (deg): 118.91 118.91 34.32
Element x y z (fractional)
1 P 0.0000 0.0000 0.0000
2 P 0.2127 0.2127 0.8161
3 Ru 0.7752 0.7752 0.6880
4 Se 0.5501 0.5501 0.2976
5 N 0.1147 0.1147 0.9242

***

This record from the Alexandria database describes a relaxed structure of CsRb2Se. The functional is PBE.

Summary:
The total energy is -2.277 eV per atom. The value obtained for the density of states at the Fermi level is 0.356 states/eV per atom. For the magnetization, the calculation gives 0.0 μB/f.u.

a b c (Å): 10.0533 10.0533 10.0533
angles (deg): 32.46 32.46 32.46
Element x y z (fractional)
1 Cs 0.0000 0.0000 0.0000
2 Rb 0.2342 0.2342 0.2342
3 Rb 0.4840 0.4840 0.4840
4 Se 0.8705 0.8705 0.8705

***

This record from the Alexandria database describes a relaxed structure of Ac2SnBiPd6. The functional is PBE.

Summary:
The total energy is -5.362 eV per atom. The value obtained for the density of states at the Fermi level is 0.472 states/eV per atom. For the magnetization, the calculation gives 0.0 μB/f.u.

a b c (Å): 5.6721 6.9113 7.1900
angles (deg): 81.00 66.80 65.85
Element x y z (fractional)
1 Ac 0.0266 0.2211 0.2248
2 Ac 0.9734 0.7789 0.7752
3 Sn 0.5000 0.0000 0.5000
4 Bi 0.5000 0.5000 0.0000
5 Pd 0.0081 0.2332 0.7521
6 Pd 0.3260 0.4212 0.4246
7 Pd 0.4915 0.7671 0.2486
8 Pd 0.5085 0.2329 0.7514
9 Pd 0.6740 0.5788 0.5754
10 Pd 0.9919 0.7668 0.2479

***

This record from the Alexandria database describes a relaxed structure of Hf3Sc2N4. The functional is PBE.

Summary:
The total energy is -10.129 eV per atom. The value obtained for the density of states at the Fermi level is 0.400 states/eV per atom. For the magnetization, the calculation gives 0.0 μB/f.u.

a b c (Å): 3.2127 3.2127 12.9983
angles (deg): 90.00 90.00 120.00
Element x y z (fractional)
1 Hf 0.0000 0.0000 0.0000
2 Hf 0.3333 0.6667 0.6005
3 Hf 0.6667 0.3333 0.3995
4 Sc 0.3333 0.6667 0.2030
5 Sc 0.6667 0.3333 0.7970
6 N 0.0000 0.0000 0.3021
7 N 0.0000 0.0000 0.6979
8 N 0.3333 0.6667 0.9038
9 N 0.6667 0.3333 0.0962

***

This record from the Alexandria database describes a relaxed structure of Dy3HoMg. The functional is PBE.

Summary:
The total energy is -3.833 eV per atom. The value obtained for the density of states at the Fermi level is 1.630 states/eV per atom. For the magnetization, the calculation gives 0.3 μB/f.u.

a b c (Å): 11.0565 11.0565 7.8806
angles (deg): 90.00 90.00 160.76
Element x y z (fractional)
1 Dy 0.0941 0.9059 0.5389
2 Dy 0.0941 0.9059 0.9611
3 Dy 0.3189 0.6811 0.7500
4 Dy 0.6811 0.3189 0.2500
5 Dy 0.9059 0.0941 0.0389
6 Dy 0.9059 0.0941 0.4611
7 Ho 0.4817 0.5183 0.7500
8 Ho 0.5183 0.4817 0.2500
9 Mg 0.3056 0.6944 0.2500
10 Mg 0.6944 0.3056 0.7500

***

This record from the Alexandria database describes a relaxed structure of MnTcP. The functional is PBE.

Summary:
The total energy is -8.563 eV per atom. The value obtained for the density of states at the Fermi level is 1.066 states/eV per atom. For the magnetization, the calculation gives 0.0 μB/f.u.

a b c (Å): 3.9245 3.9245 2.7415
angles (deg): 90.00 90.00 120.00
Element x y z (fractional)
1 Mn 0.0000 0.0000 0.0000
2 Tc 0.3333 0.6667 0.5000
3 P 0.6667 0.3333 0.0000

***

This record from the Alexandria database describes a relaxed structure of PrPdAu. The functional is PBE.

Summary:
The total energy is -5.163 eV per atom. The value obtained for the density of states at the Fermi level is 0.394 states/eV per atom. For the magnetization, the calculation gives 0.0 μB/f.u.

a b c (Å): 4.6718 4.6718 3.6845
angles (deg): 90.00 90.00 120.00
Element x y z (fractional)
1 Pr 0.0000 0.0000 0.0000
2 Pd 0.3333 0.6667 0.5000
3 Au 0.6667 0.3333 0.5000

***

This record from the Alexandria database describes a relaxed structure of Eu2AlAu. The functional is PBE.

Summary:
The total energy is -7.382 eV per atom. The value obtained for the density of states at the Fermi level is 3.536 states/eV per atom. For the magnetization, the calculation gives 14.0 μB/f.u.

a b c (Å): 3.8030 3.8030 7.3456
angles (deg): 90.00 90.00 90.00
Element x y z (fractional)
1 Eu 0.0000 0.0000 0.2456
2 Eu 0.0000 0.0000 0.7544
3 Al 0.5000 0.5000 0.5000
4 Au 0.5000 0.5000 0.0000